Run one
This record from Alexandria via LeMat-Bulk describes a geometry-optimized CePm2Te structure. The functional is PBE-GGA.

a = 3.9523 Å, b = 3.9523 Å, c = 30.0578 Å
α = 90.00°, β = 90.00°, γ = 120.00°
Last column: nearest neighbours and their distance in Å.
Space group R3m (No. 160, hexagonal axes)
Asymmetric unit:
Ce1 0.0000 0.0000 0.0000 (multiplicity 3)  6 Pm 3.64-3.67, 6 Ce 3.95
Pm1 0.0000 0.0000 0.5723 (multiplicity 3)  3 Te 3.14
Pm2 0.0000 0.0000 0.7622 (multiplicity 3)  3 Te 3.14
Te1 0.0000 0.0000 0.1674 (multiplicity 3)  6 Pm 3.14

Results
The density of states at the Fermi level is 1.872 states/eV per atom. The crystal system is trigonal. For the density, the calculation gives 6.8 g/cm³.



Run two
This record from Alexandria via LeMat-Bulk describes a geometry-optimized CePm2Te structure. The functional is PBE-GGA.

a = 7.7633 Å, b = 7.7633 Å, c = 7.7633 Å
α = 90.00°, β = 90.00°, γ = 90.00°
Last column: nearest neighbours and their distance in Å.
Space group Fm-3m (No. 225)
Asymmetric unit:
Ce1 0.0000 0.0000 0.0000 (multiplicity 4)  8 Pm 3.36
Pm1 0.2500 0.2500 0.2500 (multiplicity 8)  4 Ce 3.36, 4 Te 3.36
Te1 0.0000 0.0000 0.5000 (multiplicity 4)  8 Pm 3.36

Results
The density of states at the Fermi level is 2.224 states/eV per atom. The crystal system is cubic. For the density, the calculation gives 7.9 g/cm³.



It is run two that is the least stable of them.



Run one
This record from Alexandria via LeMat-Bulk describes a geometry-optimized CePm2Te structure. The functional is PBE-GGA.

a = 3.9286 Å, b = 3.9286 Å, c = 7.9480 Å
α = 90.00°, β = 90.00°, γ = 90.00°
Last column: nearest neighbours and their distance in Å.
Space group P4/mmm (No. 123)
Asymmetric unit:
Ce1 0.0000 0.0000 0.0000 (multiplicity 1)  8 Pm 3.54, 4 Ce 3.93
Pm1 0.5000 0.5000 0.2755 (multiplicity 2)  4 Te 3.30, 4 Ce 3.54, 1 Pm 3.57
Te1 0.0000 0.0000 0.5000 (multiplicity 1)  8 Pm 3.30

Results
The density of states at the Fermi level is 1.498 states/eV per atom. The crystal system is tetragonal. For the density, the calculation gives 7.5 g/cm³.



Run two
This record from Alexandria via LeMat-Bulk describes a geometry-optimized CePm2Te structure. The functional is PBE-GGA.

a = 4.9174 Å, b = 4.9174 Å, c = 4.6661 Å
α = 90.00°, β = 90.00°, γ = 90.00°
Last column: nearest neighbours and their distance in Å.
Space group P4/mmm (No. 123)
Asymmetric unit:
Ce1 0.0000 0.0000 0.0000 (multiplicity 1)  8 Pm 3.39, 4 Te 3.48
Pm1 0.0000 0.5000 0.5000 (multiplicity 2)  4 Ce 3.39, 4 Te 3.39, 4 Pm 3.48
Te1 0.5000 0.5000 0.0000 (multiplicity 1)  8 Pm 3.39, 4 Ce 3.48

Results
The density of states at the Fermi level is 1.777 states/eV per atom. The crystal system is tetragonal. For the density, the calculation gives 8.2 g/cm³.



It is run two that is the least stable of them.



Run one
This record from Alexandria via LeMat-Bulk describes a geometry-optimized CePm2Te3 structure. The functional is PBE-GGA.

a = 4.4545 Å, b = 6.3235 Å, c = 13.4878 Å
α = 90.00°, β = 90.00°, γ = 90.00°
Last column: nearest neighbours and their distance in Å.
Space group Immm (No. 71)
Asymmetric unit:
Ce1 0.0000 0.0000 0.0000 (multiplicity 2)  6 Te 3.16
Pm1 0.0000 0.0000 0.3318 (multiplicity 4)  6 Te 3.15-3.18
Te1 0.0000 0.5000 0.0000 (multiplicity 2)  2 Ce 3.16, 4 Pm 3.18
Te2 0.0000 0.5000 0.3334 (multiplicity 4)  4 Pm 3.15-3.16, 2 Ce 3.16

Results
The density of states at the Fermi level is 1.426 states/eV per atom. The crystal system is orthorhombic. For the density, the calculation gives 7.1 g/cm³.



Run two
This record from Alexandria via LeMat-Bulk describes a geometry-optimized CePm2Te3 structure. The functional is PBE-GGA.

a = 7.5395 Å, b = 7.5395 Å, c = 23.6560 Å
α = 90.00°, β = 90.00°, γ = 120.00°
Last column: nearest neighbours and their distance in Å.
Space group R-3c (No. 167, hexagonal axes)
Asymmetric unit:
Ce1 0.0000 0.0000 0.0000 (multiplicity 6)  6 Te 3.20
Pm1 0.0000 0.0000 0.1665 (multiplicity 12)  6 Te 3.19-3.20
Te1 0.0000 0.3320 0.2500 (multiplicity 18)  4 Pm 3.19-3.20, 2 Ce 3.20

Results
The density of states at the Fermi level is 1.603 states/eV per atom. The crystal system is trigonal. For the density, the calculation gives 7.0 g/cm³.



It is run two that is the least stable of them.



Run one
This record from Alexandria via LeMat-Bulk describes a geometry-optimized CePm3Te4 structure. The functional is PBE-GGA.

a = 9.0189 Å, b = 12.6432 Å, c = 4.4365 Å
α = 90.00°, β = 90.00°, γ = 90.00°
Last column: nearest neighbours and their distance in Å.
Space group Cmmm (No. 65)
Asymmetric unit:
Ce1 0.0000 0.0000 0.0000 (multiplicity 2)  6 Te 3.16-3.17
Pm1 0.0000 0.5000 0.0000 (multiplicity 2)  6 Te 3.16
Pm2 0.2500 0.2500 0.5000 (multiplicity 4)  6 Te 3.16
Te1 0.0000 0.2503 0.0000 (multiplicity 4)  5 Pm 3.16, 1 Ce 3.16
Te2 0.2488 0.5000 0.5000 (multiplicity 4)  4 Pm 3.16, 2 Ce 3.17

Results
The density of states at the Fermi level is 1.327 states/eV per atom. The crystal system is orthorhombic. For the density, the calculation gives 7.1 g/cm³.



Run two
This record from Alexandria via LeMat-Bulk describes a geometry-optimized CePm3Te4 structure. The functional is PBE-GGA.

a = 4.4048 Å, b = 4.4048 Å, c = 30.1884 Å
α = 90.00°, β = 90.00°, γ = 120.00°
Last column: nearest neighbours and their distance in Å.
Space group P6_3/mmc (No. 194)
Asymmetric unit:
Ce1 0.3333 0.6667 0.2500 (multiplicity 2)  6 Te 3.21
Pm1 0.0000 0.0000 0.0000 (multiplicity 2)  6 Te 3.15
Pm2 0.3333 0.6667 0.6236 (multiplicity 4)  6 Te 3.15-3.16
Te1 0.0000 0.0000 0.1853 (multiplicity 4)  3 Pm 3.15, 3 Ce 3.21
Te2 0.3333 0.6667 0.0617 (multiplicity 4)  6 Pm 3.15-3.16

Results
The density of states at the Fermi level is 1.381 states/eV per atom. The crystal system is hexagonal. For the density, the calculation gives 7.1 g/cm³.



It is run two that is the least stable of them.



Run one
This record from Alexandria via LeMat-Bulk describes a geometry-optimized CePm2Te4 structure. The functional is PBE-GGA.

a = 4.3857 Å, b = 14.6653 Å, c = 15.2346 Å
α = 90.00°, β = 90.00°, γ = 90.00°
Last column: nearest neighbours and their distance in Å.
Space group Cmcm (No. 63)
Asymmetric unit:
Ce1 0.0000 0.1219 0.2500 (multiplicity 4)  6 Te 3.21-3.27
Pm1 0.0000 0.3677 0.0667 (multiplicity 8)  6 Te 3.10-3.20
Te1 0.0000 0.0000 0.0000 (multiplicity 4)  4 Pm 3.10
Te2 0.0000 0.2765 0.6240 (multiplicity 8)  3 Pm 3.17-3.20, 2 Ce 3.27
Te3 0.0000 0.4620 0.2500 (multiplicity 4)  2 Pm 3.12, 2 Ce 3.21

Results
The density of states at the Fermi level is 1.171 states/eV per atom. The crystal system is orthorhombic. For the density, the calculation gives 6.4 g/cm³.



Run two
This record from Alexandria via LeMat-Bulk describes a geometry-optimized CePm2Te4 structure. The functional is PBE-GGA.

a = 16.8884 Å, b = 4.4720 Å, c = 7.7745 Å
α = 90.00°, β = 116.32°, γ = 90.00°
Last column: nearest neighbours and their distance in Å.
Space group C2/m (No. 12)
Asymmetric unit:
Ce1 0.0000 0.0000 0.0000 (multiplicity 2)  6 Te 3.19-3.22
Pm1 0.2404 0.5000 0.7291 (multiplicity 4)  6 Te 3.13-3.22
Te1 0.1238 0.0000 0.4509 (multiplicity 4)  3 Pm 3.13-3.17, 1 Ce 3.19
Te2 0.1329 0.5000 0.9801 (multiplicity 4)  3 Pm 3.20-3.22, 2 Ce 3.22

Results
The density of states at the Fermi level is 1.344 states/eV per atom. The crystal system is monoclinic. For the density, the calculation gives 5.9 g/cm³.



It is run two that is the least stable of them.



Run one
This record from Alexandria via LeMat-Bulk describes a geometry-optimized CePm3Tl4 structure. The functional is PBE-GGA.

a = 3.8569 Å, b = 3.8569 Å, c = 15.8027 Å
α = 90.00°, β = 90.00°, γ = 90.00°
Last column: nearest neighbours and their distance in Å.
Space group P4/mmm (No. 123)
Asymmetric unit:
Ce1 0.0000 0.0000 0.0000 (multiplicity 1)  8 Tl 3.39
Pm1 0.0000 0.0000 0.2515 (multiplicity 2)  8 Tl 3.35-3.36
Pm2 0.0000 0.0000 0.5000 (multiplicity 1)  8 Tl 3.36
Tl1 0.5000 0.5000 0.1279 (multiplicity 2)  4 Pm 3.35, 4 Ce 3.39
Tl2 0.5000 0.5000 0.3756 (multiplicity 2)  8 Pm 3.36

Results
The density of states at the Fermi level is 1.682 states/eV per atom. The crystal system is tetragonal. For the density, the calculation gives 9.8 g/cm³.



Run two
This record from Alexandria via LeMat-Bulk describes a geometry-optimized CePm3Tl4 structure. The functional is PBE-GGA.

a = 3.6498 Å, b = 7.4251 Å, c = 18.7184 Å
α = 90.00°, β = 90.00°, γ = 90.00°
Last column: nearest neighbours and their distance in Å.
Space group Immm (No. 71)
Asymmetric unit:
Ce1 0.0000 0.0000 0.0000 (multiplicity 2)  4 Tl 3.22
Pm1 0.0000 0.0000 0.5000 (multiplicity 2)  8 Tl 3.39, 2 Pm 3.65
Pm2 0.0000 0.5000 0.2844 (multiplicity 4)  6 Tl 3.27-3.31, 2 Pm 3.65
Tl1 0.0000 0.2905 0.1280 (multiplicity 8)  1 Tl 3.11, 1 Ce 3.22, 5 Pm 3.27-3.39

Results
The density of states at the Fermi level is 1.642 states/eV per atom. The crystal system is orthorhombic. For the density, the calculation gives 9.1 g/cm³.



It is run two that is the least stable of them.